Density functional theory data (meta-GGA SCAN) for a crystal of Fe2CuPSe relaxed with PBEsol.

```
5
Lattice="4.4942 0.0000 0.0000 0.0000 4.4942 0.0000 0.0000 0.0000 4.3081" Properties=species:S:1:pos:R:3 pbc="T T T"
Fe 0.0000 2.2471 0.0000
Fe 2.2471 0.0000 0.0000
Cu 0.0000 0.0000 0.0000
P 2.2471 2.2471 2.1540
Se 0.0000 0.0000 2.1540
```

Computed properties:
**Formation energy from raw total energies**: 1.1141 eV per atom
**Electronic total energy**: -15.273 eV/atom
**Symmetry**: P4/mmm (123)

Density functional theory data (meta-GGA SCAN) for a crystal of Fe2CuPb relaxed with PBEsol.

```
8
Lattice="3.8923 0.0000 0.0000 0.0000 3.8923 0.0000 0.0000 0.0000 7.4597" Properties=species:S:1:pos:R:3 pbc="T T T"
Fe 0.0000 0.0000 0.0000
Fe 0.0000 1.9462 1.8649
Fe 1.9462 0.0000 5.5948
Fe 1.9462 1.9462 3.7299
Cu 0.0000 0.0000 3.7299
Cu 1.9462 1.9462 0.0000
Pb 0.0000 1.9462 5.5948
Pb 1.9462 0.0000 1.8649
```

Computed properties:
**Electronic total energy**: -31.424 eV/atom
**Symmetry**: I-4m2 (119)